[1]
Here is a relaxed structure of CrGe2I from Alexandria via LeMat-Bulk. Energies are from PBE.

Structure (extended XYZ):
```
4
Lattice="0.0000 3.3892 3.3892 3.3892 0.0000 3.3892 3.3892 3.3892 0.0000" Properties=species:S:1:pos:R:3 pbc="T T T"
Cr 0.0000 0.0000 0.0000
Ge 1.6946 1.6946 1.6946
Ge 5.0838 5.0838 5.0838
I 3.3892 3.3892 3.3892
```

excess energy over the best structure of this formula in the dataset = 592.1 meV/atom
symmetry = No. 225

***

[2]
Here is a relaxed structure of CrGe2I from Alexandria via LeMat-Bulk. Energies are from PBE.

Structure (extended XYZ):
```
8
Lattice="-2.6121 2.6121 8.1357 2.6121 -2.6121 8.1357 2.6121 2.6121 -8.1357" Properties=species:S:1:pos:R:3 pbc="T T T"
Cr 0.0000 0.0000 0.0000
Cr 0.0000 2.6121 4.0679
Ge 0.4133 1.3060 2.0339
Ge -1.3060 2.1988 6.1018
Ge -0.4133 3.9181 2.0339
Ge 1.3060 3.0253 6.1018
I 2.6121 0.0000 4.0679
I 0.0000 0.0000 8.1357
```

excess energy over the best structure of this formula in the dataset = 0.0 meV/atom
symmetry = No. 122

***

[3]
Here is a relaxed structure of CrGeI2 from Alexandria via LeMat-Bulk. Energies are from PBE.

Structure (extended XYZ):
```
8
Lattice="-3.9628 3.9628 3.8225 3.9628 -3.9628 3.8225 3.9628 3.9628 -3.8225" Properties=species:S:1:pos:R:3 pbc="T T T"
Cr 0.0000 0.0000 0.0000
Cr 0.0000 3.9628 1.9113
Ge 3.9628 0.0000 1.9113
Ge 0.0000 0.0000 3.8225
I 1.9814 1.7759 -0.9556
I 2.1868 -1.9814 4.7781
I 1.9814 2.1868 2.8669
I 1.7759 5.9442 0.9556
```

excess energy over the best structure of this formula in the dataset = 0.0 meV/atom
symmetry = No. 122

***

[4]
Here is a relaxed structure of CrGeI3 from Alexandria via LeMat-Bulk. Energies are from PBE.

Structure (extended XYZ):
```
5
Lattice="5.7896 0.0000 0.0000 0.0000 5.7896 0.0000 0.0000 0.0000 5.7896" Properties=species:S:1:pos:R:3 pbc="T T T"
Cr 0.0000 0.0000 0.0000
Ge 2.8948 2.8948 2.8948
I 0.0000 2.8948 2.8948
I 2.8948 0.0000 2.8948
I 2.8948 2.8948 0.0000
```

excess energy over the best structure of this formula in the dataset = 107.6 meV/atom
symmetry = No. 221

***

[5]
Here is a relaxed structure of CrGeI4 from Alexandria via LeMat-Bulk. Energies are from PBE.

Structure (extended XYZ):
```
6
Lattice="8.0967 -2.1035 0.0000 8.0967 2.1035 0.0000 -3.0642 0.0000 6.6438" Properties=species:S:1:pos:R:3 pbc="T T T"
Cr 0.0000 0.0000 0.0000
Ge 6.5646 0.0000 3.3219
I -0.5646 0.0000 5.2487
I 4.0213 0.0000 4.9189
I 9.1079 0.0000 1.7249
I 13.6938 0.0000 1.3950
```

total DFT energy (no corrections) = -0.271 Ry/atom
symmetry = No. 12

***

[6]
Here is a relaxed structure of CrGeI3 from Alexandria via LeMat-Bulk. Energies are from PBE.

Structure (extended XYZ):
```
5
Lattice="5.5318 0.0000 0.0000 0.0000 5.5318 0.0000 0.0000 0.0000 5.5318" Properties=species:S:1:pos:R:3 pbc="T T T"
Cr 0.0000 0.0000 0.0000
Ge 2.7659 2.7659 2.7659
I 0.0000 0.0000 2.7659
I 0.0000 2.7659 0.0000
I 2.7659 0.0000 0.0000
```

excess energy over the best structure of this formula in the dataset = 0.0 meV/atom
symmetry = No. 221

***

[7]
Here is a relaxed structure of CrGeIN2 from Alexandria via LeMat-Bulk. Energies are from PBE.

Structure (extended XYZ):
```
5
Lattice="3.8768 0.0000 0.0000 0.0000 3.8768 0.0000 0.0000 0.0000 5.4070" Properties=species:S:1:pos:R:3 pbc="T T T"
Cr 0.0000 0.0000 0.0000
Ge 1.9384 1.9384 2.7035
I 0.0000 0.0000 2.7035
N 0.0000 1.9384 0.0000
N 1.9384 0.0000 0.0000
```

excess energy over the best structure of this formula in the dataset = 0.0 meV/atom
symmetry = No. 123

***

[8]
Here is a relaxed structure of CrGeIN2 from Alexandria via LeMat-Bulk. Energies are from PBE.

Structure (extended XYZ):
```
5
Lattice="3.8079 0.0000 0.0000 0.0000 3.8079 0.0000 0.0000 0.0000 6.8956" Properties=species:S:1:pos:R:3 pbc="T T T"
Cr 0.0000 0.0000 0.0000
Ge 1.9039 1.9039 3.4478
I 1.9039 1.9039 0.0000
N 0.0000 1.9039 3.4478
N 1.9039 0.0000 3.4478
```

excess energy over the best structure of this formula in the dataset = 321.4 meV/atom
symmetry = No. 123

***

[9]
Here is a relaxed structure of CrGeI2N from Alexandria via LeMat-Bulk. Energies are from PBE.

Structure (extended XYZ):
```
5
Lattice="5.8824 0.0000 0.0000 0.0000 5.8824 0.0000 0.0000 0.0000 3.5803" Properties=species:S:1:pos:R:3 pbc="T T T"
Cr 0.0000 0.0000 0.0000
Ge 2.9412 2.9412 1.7901
I 0.0000 2.9412 1.7901
I 2.9412 0.0000 1.7901
N 2.9412 2.9412 0.0000
```

excess energy over the best structure of this formula in the dataset = 455.0 meV/atom
symmetry = No. 123

***

[10]
Here is a relaxed structure of CrGeI2N from Alexandria via LeMat-Bulk. Energies are from PBE.

Structure (extended XYZ):
```
5
Lattice="5.6346 0.0000 0.0000 0.0000 5.6346 0.0000 0.0000 0.0000 3.6593" Properties=species:S:1:pos:R:3 pbc="T T T"
Cr 0.0000 0.0000 0.0000
Ge 2.8173 2.8173 1.8296
I 0.0000 2.8173 0.0000
I 2.8173 0.0000 0.0000
N 0.0000 0.0000 1.8296
```

excess energy over the best structure of this formula in the dataset = 0.0 meV/atom
symmetry = No. 123

***

| no. | N(E_F) (states/eV/cell) |
| --- | --- |
| 1 | 6.49 |
| 2 | 4.77 |
| 3 | 1.43 |
| 4 | 19.77 |
| 5 | 4.73 |
| 6 | 2.79 |
| 7 | 4.38 |
| 8 | 2.41 |
| 9 | 3.28 |
| 10 | 2.53 |